The following is a GGA-PBE calculation of La3NiI after structural relaxation, from the Alexandria database.

Its total moment is 0.00 μB per cell. The crystal system is orthorhombic. The calculation puts the formation energy without anion corrections at -497 meV per atom.

The space group is Pmmn (No. 59, origin choice 2) and the conventional cell measures 4.229, 7.062 and 10.359 Å, with angles of 90.00, 90.00 and 90.00 degrees. Symmetry generates all atoms from La at (0.250, 0.002, 0.145), La at (0.250, 0.250, 0.594), Ni at (0.250, 0.250, 0.893) and I at (0.250, 0.750, 0.654).